Density functional theory data (GGA-PBE) for a geometry-optimized MnTl2CdPt structure.

Cell lengths 5.2888, 5.2888, 5.2662 Å; angles 90.00, 90.00, 90.00 degrees
With the nearest neighbours (Å) after each atom.
Element x y z (fractional)
Mn  0.0000  0.0000  0.0000  8 Tl 3.73, 4 Cd 3.74
Tl  0.0000  0.5000  0.5000  2 Pt 2.64
Tl  0.5000  0.0000  0.5000  2 Pt 2.64
Cd  0.5000  0.5000  0.0000  2 Pt 2.63
Pt  0.5000  0.5000  0.5000  2 Cd 2.63, 4 Tl 2.64

Summary:
V = 29.5 A^3/atom
Calculated formation energy = 0.4607 eV/atom